No. 1
The following is a DFT calculation (PBE) of a relaxed PmVRe crystal.

Properties
Its spin magnetization is 0.000 μB/f.u.

a b c (Å): 3.135 4.509 9.070
angles (deg): 90.00 90.00 90.00
Space group Pmmn (No. 59, origin choice 2)
Symmetry-distinct sites (fractional):
Pm 0.250 0.250 0.115 (multiplicity 2)
V 0.250 0.250 0.463 (multiplicity 2)
Re 0.250 0.750 0.330 (multiplicity 2)



No. 2
The following is a DFT calculation (PBE) of a relaxed Pm2Re3W crystal.

Properties
Its spin magnetization is 0.000 μB/f.u.

a b c (Å): 9.531 5.526 5.516
angles (deg): 90.00 125.23 90.00
Space group C2/m (No. 12)
Symmetry-distinct sites (fractional):
Pm 0.124 0.000 0.372 (multiplicity 4)
Re 0.000 0.500 0.000 (multiplicity 2)
Re 0.250 0.250 0.000 (multiplicity 4)
W 0.000 0.500 0.500 (multiplicity 2)



No. 3
The following is a DFT calculation (PBE) of a relaxed PmReW crystal.

Properties
Its spin magnetization is 0.000 μB/f.u.

a b c (Å): 9.907 3.130 8.453
angles (deg): 90.00 102.05 90.00
Space group C2/m (No. 12)
Symmetry-distinct sites (fractional):
Pm 0.159 0.000 0.137 (multiplicity 4)
Re 0.139 0.500 0.452 (multiplicity 4)
W 0.084 0.000 0.676 (multiplicity 4)



no.,formation enthalpy at 0 K (eV/atom)
1,0.500
2,0.021
3,0.425